Entry w
{
  "formula": "PrNd5Ho2",
  "functional": "PBE",
  "state": "relaxed",
  "cell": [[7.288, 0.000, 0.000], [0.000, 14.576, 0.000], [0.000, 0.000, 5.147]],
  "species": ["Pr", "Pr", "Nd", "Nd", "Nd", "Nd", "Nd", "Nd", "Nd", "Nd", "Nd", "Nd", "Ho", "Ho", "Ho", "Ho"],
  "frac_coords": [[0.000, 0.000, 0.000], [0.500, 0.500, 0.000], [0.000, 0.500, 0.000], [0.001, 0.250, 0.000], [0.249, 0.625, 0.500], [0.251, 0.125, 0.500], [0.499, 0.750, 0.000], [0.500, 0.000, 0.000], [0.501, 0.250, 0.000], [0.749, 0.875, 0.500], [0.751, 0.375, 0.500], [0.999, 0.750, 0.000], [0.250, 0.375, 0.500], [0.250, 0.875, 0.500], [0.750, 0.125, 0.500], [0.750, 0.625, 0.500]],
  "m_tot_mub_per_fu": 0.0,
  "crystal_system": "orthorhombic"
}

Entry x
{
  "formula": "PrNd5Ho2",
  "functional": "PBE",
  "state": "relaxed",
  "cell": [[6.713, 0.000, 0.000], [0.634, 9.251, 0.000], [2.395, 1.662, 9.011]],
  "species": ["Pr", "Pr", "Nd", "Nd", "Nd", "Nd", "Nd", "Nd", "Nd", "Nd", "Nd", "Nd", "Ho", "Ho", "Ho", "Ho"],
  "frac_coords": [[0.025, 0.275, 0.396], [0.975, 0.725, 0.604], [0.075, 0.039, 0.710], [0.182, 0.322, 0.998], [0.256, 0.613, 0.242], [0.294, 0.929, 0.988], [0.424, 0.693, 0.750], [0.576, 0.307, 0.250], [0.706, 0.071, 0.012], [0.744, 0.387, 0.758], [0.818, 0.678, 0.002], [0.925, 0.961, 0.290], [0.300, 0.399, 0.603], [0.396, 0.931, 0.374], [0.604, 0.069, 0.626], [0.700, 0.601, 0.397]],
  "m_tot_mub_per_fu": 0.0,
  "crystal_system": "triclinic"
}

Least stable structure: entry x

Entry w
{
  "formula": "Pr3NdHo3",
  "functional": "PBE",
  "state": "relaxed",
  "cell": [[4.385, 2.532, 7.431], [-4.385, 2.532, 7.431], [0.000, -5.063, 7.431]],
  "species": ["Pr", "Pr", "Pr", "Pr", "Pr", "Pr", "Nd", "Nd", "Ho", "Ho", "Ho", "Ho", "Ho", "Ho"],
  "frac_coords": [[0.066, 0.572, 0.218], [0.218, 0.066, 0.572], [0.428, 0.782, 0.934], [0.572, 0.218, 0.066], [0.782, 0.934, 0.428], [0.934, 0.428, 0.782], [0.156, 0.156, 0.156], [0.844, 0.844, 0.844], [0.216, 0.673, 0.437], [0.327, 0.563, 0.784], [0.437, 0.216, 0.673], [0.563, 0.784, 0.327], [0.673, 0.437, 0.216], [0.784, 0.327, 0.563]],
  "m_tot_mub_per_fu": 0.0,
  "crystal_system": "trigonal"
}

Entry x
{
  "formula": "Pr3NdHo3",
  "functional": "PBE",
  "state": "relaxed",
  "cell": [[9.731, 0.000, 0.000], [-4.865, 8.427, 0.000], [0.000, 0.000, 5.832]],
  "species": ["Pr", "Pr", "Pr", "Pr", "Pr", "Pr", "Nd", "Nd", "Ho", "Ho", "Ho", "Ho", "Ho", "Ho"],
  "frac_coords": [[0.096, 0.622, 0.250], [0.378, 0.473, 0.250], [0.473, 0.096, 0.750], [0.527, 0.904, 0.250], [0.622, 0.527, 0.750], [0.904, 0.378, 0.750], [0.333, 0.667, 0.750], [0.667, 0.333, 0.250], [0.046, 0.814, 0.750], [0.186, 0.232, 0.750], [0.232, 0.046, 0.250], [0.768, 0.954, 0.750], [0.814, 0.768, 0.250], [0.954, 0.186, 0.250]],
  "m_tot_mub_per_fu": 0.0,
  "crystal_system": "hexagonal"
}

Least stable structure: entry w

Entry w
{
  "formula": "Pr2NdHo9",
  "functional": "PBE",
  "state": "relaxed",
  "cell": [[5.046, 0.000, 0.000], [0.000, 5.046, 0.000], [0.000, 0.000, 15.139]],
  "species": ["Pr", "Pr", "Nd", "Ho", "Ho", "Ho", "Ho", "Ho", "Ho", "Ho", "Ho", "Ho"],
  "frac_coords": [[0.000, 0.000, 0.167], [0.000, 0.000, 0.833], [0.000, 0.000, 0.500], [0.000, 0.500, 0.000], [0.000, 0.500, 0.334], [0.000, 0.500, 0.666], [0.500, 0.000, 0.000], [0.500, 0.000, 0.334], [0.500, 0.000, 0.666], [0.500, 0.500, 0.167], [0.500, 0.500, 0.500], [0.500, 0.500, 0.833]],
  "m_tot_mub_per_fu": 0.0,
  "crystal_system": "tetragonal"
}

Entry x
{
  "formula": "Pr2NdHo9",
  "functional": "PBE",
  "state": "relaxed",
  "cell": [[11.299, 0.000, 0.000], [-5.649, 9.785, 0.000], [0.000, 0.000, 3.516]],
  "species": ["Pr", "Pr", "Nd", "Ho", "Ho", "Ho", "Ho", "Ho", "Ho", "Ho", "Ho", "Ho"],
  "frac_coords": [[0.333, 0.667, 0.000], [0.667, 0.333, 0.000], [0.000, 0.000, 0.000], [0.000, 0.500, 0.000], [0.175, 0.350, 0.500], [0.175, 0.825, 0.500], [0.350, 0.175, 0.500], [0.500, 0.000, 0.000], [0.500, 0.500, 0.000], [0.650, 0.825, 0.500], [0.825, 0.175, 0.500], [0.825, 0.650, 0.500]],
  "m_tot_mub_per_fu": 0.0,
  "crystal_system": "hexagonal"
}

Least stable structure: entry x